A plane-wave DFT calculation with PBE was carried out for a relaxed LiTmHg2 crystal.

a = 3.4850 Å, b = 3.4850 Å, c = 7.1449 Å
α = 90.00°, β = 90.00°, γ = 90.00°
Fractional positions:
Hg (0.0000, 0.0000, 0.2250)
Hg (0.0000, 0.0000, 0.7750)
Tm (0.5000, 0.5000, 0.5000)
Li (0.5000, 0.5000, 0.0000)

Symmetry: P4/mmm (123)

A plane-wave DFT calculation with PBE was carried out for a relaxed Li2TmHg crystal.

a = 4.7572 Å, b = 4.7572 Å, c = 4.7572 Å
α = 60.00°, β = 60.00°, γ = 60.00°
Fractional positions:
Li (0.7500, 0.7500, 0.7500)
Li (0.2500, 0.2500, 0.2500)
Hg (0.5000, 0.5000, 0.5000)
Tm (0.0000, 0.0000, 0.0000)

Symmetry: Fm-3m (225)

A plane-wave DFT calculation with PBE was carried out for a relaxed LiYTm2Hg4 crystal.

a = 5.1042 Å, b = 5.1042 Å, c = 8.9758 Å
α = 73.48°, β = 73.48°, γ = 60.00°
Fractional positions:
Tm (0.7546, 0.7546, 0.7362)
Tm (0.2454, 0.2454, 0.2638)
Hg (0.3792, 0.3792, 0.8624)
Hg (0.6208, 0.6208, 0.1376)
Hg (0.8740, 0.8740, 0.3779)
Hg (0.1260, 0.1260, 0.6221)
Y (0.0000, 0.0000, 0.0000)
Li (0.5000, 0.5000, 0.5000)

Symmetry: R-3m (166)

A plane-wave DFT calculation with PBE was carried out for a relaxed LiYTmHg crystal.

a = 5.1939 Å, b = 5.1939 Å, c = 5.1939 Å
α = 60.00°, β = 60.00°, γ = 60.00°
Fractional positions:
Y (0.7500, 0.7500, 0.7500)
Li (0.0000, 0.0000, 0.0000)
Hg (0.5000, 0.5000, 0.5000)
Tm (0.2500, 0.2500, 0.2500)

Symmetry: F-43m (216)

A plane-wave DFT calculation with PBE was carried out for a relaxed LiTmZnHg crystal.

a = 4.8577 Å, b = 4.8577 Å, c = 4.8577 Å
α = 60.00°, β = 60.00°, γ = 60.00°
Fractional positions:
Li (0.2500, 0.2500, 0.2500)
Hg (0.5000, 0.5000, 0.5000)
Tm (0.7500, 0.7500, 0.7500)
Zn (0.0000, 0.0000, 0.0000)

Symmetry: F-43m (216)

A plane-wave DFT calculation with PBE was carried out for a relaxed Li2TmZnHg4 crystal.

a = 4.6720 Å, b = 4.6720 Å, c = 9.1313 Å
α = 75.18°, β = 75.18°, γ = 60.00°
Fractional positions:
Hg (0.1233, 0.1233, 0.6301)
Hg (0.3873, 0.3873, 0.8380)
Hg (0.8767, 0.8767, 0.3699)
Hg (0.6127, 0.6127, 0.1620)
Li (0.7627, 0.7627, 0.7119)
Li (0.2373, 0.2373, 0.2881)
Zn (0.5000, 0.5000, 0.5000)
Tm (0.0000, 0.0000, 0.0000)

Symmetry: R-3m (166)

| no. | calculated formation energy (eV per atom) |
| --- | --- |
| 1 | -0.387 |
| 2 | -0.153 |
| 3 | -0.455 |
| 4 | -0.229 |
| 5 | -0.326 |
| 6 | -0.286 |